# 1
{
  "formula": "Al2Cr2Ag",
  "functional": "PBE-GGA",
  "state": "relaxed",
  "cell": [[7.145, 0.000, 0.000], [0.000, 7.145, 0.000], [0.000, 0.000, 2.905]],
  "species": ["Cr", "Cr", "Cr", "Cr", "Al", "Al", "Al", "Al", "Ag", "Ag"],
  "frac_coords": [[0.399, 0.899, 0.000], [0.899, 0.601, 0.000], [0.601, 0.101, 0.000], [0.101, 0.399, 0.000], [0.191, 0.691, 0.500], [0.691, 0.809, 0.500], [0.809, 0.309, 0.500], [0.309, 0.191, 0.500], [0.000, 0.000, 0.000], [0.500, 0.500, 0.000]],
  "final_energy_ev_per_atom": -5.7551,
  "vol_a3_per_atom": 14.8,
  "e_above_lowest_polymorph_mev_per_atom": 0,
  "ef_ev_per_atom": 0.16
}



# 2
{
  "formula": "AlAg2BSe4",
  "functional": "PBE-GGA",
  "state": "relaxed",
  "cell": [[5.898, 0.001, -0.003], [-0.001, 5.898, -0.003], [-2.946, -2.947, 5.156]],
  "species": ["Al", "Ag", "Ag", "B", "Se", "Se", "Se", "Se"],
  "frac_coords": [[0.986, 0.486, 0.972], [0.486, 0.986, 0.972], [0.236, 0.236, 0.472], [0.736, 0.736, 0.472], [0.659, 0.628, 0.701], [0.843, 0.430, 0.243], [0.400, 0.813, 0.243], [0.042, 0.072, 0.701]],
  "final_energy_ev_per_atom": -4.0910,
  "vol_a3_per_atom": 22.4,
  "e_form_raw_ev_per_atom": -0.333
}



# 3
{
  "formula": "AgSnB",
  "functional": "PBE-GGA",
  "state": "relaxed",
  "cell": [[3.170, -0.108, -0.037], [-1.386, 5.952, -0.034], [0.192, 3.018, 5.954]],
  "species": ["B", "B", "Sn", "Sn", "Ag", "Ag"],
  "frac_coords": [[0.101, 0.025, 0.145], [0.605, 0.024, 0.145], [0.672, 0.678, 0.048], [0.488, 0.299, 0.524], [0.046, 0.420, 0.835], [0.769, 0.861, 0.534]],
  "final_energy_ev_per_atom": -4.2044,
  "vol_a3_per_atom": 18.7,
  "ef_ev_per_atom": 0.31
}



# 4
{
  "formula": "SiHgTe2",
  "functional": "PBE-GGA",
  "state": "relaxed",
  "cell": [[-1.478, -1.783, 2.405], [3.031, 1.062, 0.912], [-4.270, 8.825, 3.919]],
  "species": ["Hg", "Si", "Te", "Te"],
  "frac_coords": [[0.500, 0.500, 0.250], [0.500, 0.500, 0.750], [0.000, 0.000, 0.946], [0.000, 0.000, 0.554]],
  "final_energy_ev_per_atom": -2.7037,
  "vol_a3_per_atom": 27.3,
  "e_above_lowest_polymorph_mev_per_atom": 241,
  "e_form_raw_ev_per_atom": 0.298
}



# 5
{
  "formula": "Tm2SnPd4",
  "functional": "PBE-GGA",
  "state": "relaxed",
  "cell": [[4.898, 0.000, 0.000], [0.000, 4.898, 0.000], [-2.449, -2.449, 7.085]],
  "species": ["Tm", "Tm", "Sn", "Pd", "Pd", "Pd", "Pd"],
  "frac_coords": [[0.629, 0.629, 0.259], [0.371, 0.371, 0.741], [0.000, 0.000, 0.000], [0.813, 0.813, 0.625], [0.187, 0.187, 0.375], [0.000, 0.500, 0.000], [0.500, 0.000, 0.000]],
  "final_energy_ev_per_atom": -5.0465,
  "vol_a3_per_atom": 24.3,
  "e_above_lowest_polymorph_mev_per_atom": 515,
  "ef_ev_per_atom": -0.23
}



# 6
{
  "formula": "Cs2AgRh",
  "functional": "PBE-GGA",
  "state": "relaxed",
  "cell": [[-10.093, 2.352, -6.184], [-0.007, -11.284, -4.279], [-6.524, -5.263, -3.128]],
  "species": ["Cs", "Cs", "Cs", "Cs", "Rh", "Rh", "Ag", "Ag"],
  "frac_coords": [[0.388, 0.125, 0.250], [0.362, 0.625, 0.250], [0.375, 0.612, 0.750], [0.875, 0.638, 0.750], [0.500, 0.500, 0.000], [0.250, 0.750, 0.500], [0.000, 0.000, 0.000], [0.750, 0.250, 0.500]],
  "final_energy_ev_per_atom": -2.5157,
  "vol_a3_per_atom": 49.0,
  "e_above_lowest_polymorph_mev_per_atom": 0,
  "ef_ev_per_atom": 0.46
}



# 7
{
  "formula": "Zr2InGeBi",
  "functional": "PBE-GGA",
  "state": "relaxed",
  "cell": [[-3.291, -2.513, 3.109], [1.910, -4.434, -1.563], [3.491, 0.156, 3.821]],
  "species": ["Ge", "Bi", "Zr", "Zr", "In"],
  "frac_coords": [[0.000, 0.000, 0.000], [0.500, 0.500, 0.500], [0.000, 0.000, 0.500], [0.500, 0.000, 0.000], [0.000, 0.500, 0.000]],
  "final_energy_ev_per_atom": -5.3819,
  "vol_a3_per_atom": 27.2,
  "ef_ev_per_atom": 0.28
}



# 8
{
  "formula": "Y2ThZrN4",
  "functional": "PBE-GGA",
  "state": "relaxed",
  "cell": [[-3.436, -0.515, 0.051], [0.242, -1.019, 5.942], [-0.891, 5.847, -0.966]],
  "species": ["Y", "Y", "Th", "Zr", "N", "N", "N", "N"],
  "frac_coords": [[0.500, 0.000, 0.500], [0.000, 0.500, 0.500], [0.500, 0.500, 0.000], [0.000, 0.000, 0.000], [0.500, 0.235, 0.238], [0.500, 0.765, 0.762], [0.000, 0.237, 0.755], [0.000, 0.763, 0.245]],
  "final_energy_ev_per_atom": -9.3949,
  "vol_a3_per_atom": 14.8,
  "e_form_raw_ev_per_atom": -1.620
}



# 9
{
  "formula": "LiHoNiSb",
  "functional": "PBE-GGA",
  "state": "relaxed",
  "cell": [[-0.975, 4.243, 1.570], [-3.603, 2.336, -1.728], [-3.767, 0.698, 2.598]],
  "species": ["Sb", "Li", "Ho", "Ni"],
  "frac_coords": [[0.250, 0.250, 0.250], [0.000, 0.000, 0.000], [0.750, 0.750, 0.750], [0.500, 0.500, 0.500]],
  "final_energy_ev_per_atom": -4.6072,
  "vol_a3_per_atom": 17.5,
  "e_form_raw_ev_per_atom": -0.508
}



# 10
{
  "formula": "KCu2Br",
  "functional": "PBE-GGA",
  "state": "relaxed",
  "cell": [[-2.648, 4.035, -3.123], [-0.525, -2.972, -4.893], [-1.857, -0.010, 5.440]],
  "species": ["Br", "Cu", "Cu", "K"],
  "frac_coords": [[0.184, 0.684, 0.500], [0.985, 0.985, 0.000], [0.830, 0.330, 0.500], [0.501, 0.501, 0.000]],
  "final_energy_ev_per_atom": -2.7531,
  "vol_a3_per_atom": 27.1,
  "e_above_lowest_polymorph_mev_per_atom": 138,
  "e_form_raw_ev_per_atom": -0.012
}



# 11
{
  "formula": "LiGa3I",
  "functional": "PBE-GGA",
  "state": "relaxed",
  "cell": [[-1.463, -3.444, 3.291], [4.687, -0.427, 1.638], [-0.850, 3.576, 3.365]],
  "species": ["I", "Ga", "Ga", "Ga", "Li"],
  "frac_coords": [[0.500, 0.500, 0.500], [0.000, 0.500, 0.000], [0.000, 0.000, 0.500], [0.500, 0.000, 0.000], [0.000, 0.000, 0.000]],
  "final_energy_ev_per_atom": -2.4147,
  "vol_a3_per_atom": 24.7,
  "e_above_lowest_polymorph_mev_per_atom": 0,
  "e_form_raw_ev_per_atom": 0.094
}



# 12
{
  "formula": "LaY2Ru2",
  "functional": "PBE-GGA",
  "state": "relaxed",
  "cell": [[-5.969, -5.460, 0.432], [3.300, -3.075, 6.729], [-1.914, 2.248, 1.966]],
  "species": ["Y", "Y", "Y", "Y", "Ru", "Ru", "Ru", "Ru", "La", "La"],
  "frac_coords": [[0.143, 0.643, 0.500], [0.643, 0.857, 0.500], [0.857, 0.357, 0.500], [0.357, 0.143, 0.500], [0.344, 0.844, 0.000], [0.844, 0.656, 0.000], [0.656, 0.156, 0.000], [0.156, 0.344, 0.000], [0.000, 0.000, 0.000], [0.500, 0.500, 0.000]],
  "final_energy_ev_per_atom": -7.5110,
  "vol_a3_per_atom": 23.3,
  "e_above_lowest_polymorph_mev_per_atom": 0,
  "ef_ev_per_atom": -0.23
}



# 13
{
  "formula": "NiHgPt2",
  "functional": "PBE-GGA",
  "state": "relaxed",
  "cell": [[2.911, 0.000, 0.000], [0.000, 2.911, 0.000], [0.000, 0.000, 7.478]],
  "species": ["Hg", "Ni", "Pt", "Pt"],
  "frac_coords": [[0.500, 0.500, 0.250], [0.500, 0.500, 0.750], [0.000, 0.000, 0.964], [0.000, 0.000, 0.536]],
  "final_energy_ev_per_atom": -4.5379,
  "vol_a3_per_atom": 15.8,
  "ef_ev_per_atom": 0.00
}



# 14
{
  "formula": "PuScAl",
  "functional": "PBE-GGA",
  "state": "relaxed",
  "cell": [[3.006, 0.000, 0.000], [-1.503, 9.321, 4.304], [0.000, 3.814, 6.591]],
  "species": ["Al", "Al", "Pu", "Pu", "Sc", "Sc"],
  "frac_coords": [[0.135, 0.269, 0.750], [0.865, 0.731, 0.250], [0.456, 0.911, 0.380], [0.544, 0.089, 0.620], [0.710, 0.421, 0.908], [0.290, 0.579, 0.092]],
  "final_energy_ev_per_atom": -8.1423,
  "vol_a3_per_atom": 22.6,
  "e_above_lowest_polymorph_mev_per_atom": 136,
  "ef_ev_per_atom": -0.01
}



# 15
{
  "formula": "Ac5Ni2Ge5",
  "functional": "PBE-GGA",
  "state": "relaxed",
  "cell": [[-2.181, -3.423, 1.293], [-0.551, -4.832, -6.708], [7.104, -6.329, 2.246]],
  "species": ["Ac", "Ac", "Ac", "Ac", "Ac", "Ni", "Ni", "Ge", "Ge", "Ge", "Ge", "Ge"],
  "frac_coords": [[0.000, 0.500, 0.500], [0.690, 0.702, 0.917], [0.380, 0.923, 0.318], [0.620, 0.077, 0.682], [0.310, 0.298, 0.083], [0.382, 0.470, 0.766], [0.618, 0.530, 0.234], [0.694, 0.250, 0.361], [0.928, 0.323, 0.820], [0.072, 0.677, 0.180], [0.306, 0.750, 0.639], [0.000, 0.000, 0.000]],
  "final_energy_ev_per_atom": -5.2167,
  "vol_a3_per_atom": 27.0,
  "ef_ev_per_atom": -0.62
}



# 16
{
  "formula": "Gd3H",
  "functional": "PBE-GGA",
  "state": "relaxed",
  "cell": [[3.370, 0.000, 0.000], [0.000, 5.883, 0.000], [-1.685, -2.942, 4.932]],
  "species": ["H", "Gd", "Gd", "Gd"],
  "frac_coords": [[0.000, 0.042, 0.000], [0.327, 0.708, 0.653], [0.500, 0.362, 0.000], [0.673, 0.055, 0.347]],
  "final_energy_ev_per_atom": -11.4386,
  "vol_a3_per_atom": 24.4
}



# 17
{
  "formula": "AlFeBr3",
  "functional": "PBE-GGA",
  "state": "relaxed",
  "cell": [[5.175, 0.000, 0.000], [0.000, 5.175, 0.000], [0.000, 0.000, 5.175]],
  "species": ["Al", "Fe", "Br", "Br", "Br"],
  "frac_coords": [[0.500, 0.500, 0.500], [0.000, 0.000, 0.000], [0.000, 0.500, 0.000], [0.000, 0.000, 0.500], [0.500, 0.000, 0.000]],
  "final_energy_ev_per_atom": -3.5872,
  "vol_a3_per_atom": 27.7,
  "e_above_lowest_polymorph_mev_per_atom": 0,
  "e_form_raw_ev_per_atom": -0.142
}



# 18
{
  "formula": "RbAc2PrTe4",
  "functional": "PBE-GGA",
  "state": "relaxed",
  "cell": [[4.709, 0.000, 0.000], [0.000, 8.188, -0.176], [0.000, 2.869, 7.860]],
  "species": ["Rb", "Ac", "Ac", "Pr", "Te", "Te", "Te", "Te"],
  "frac_coords": [[0.500, 0.500, 0.000], [0.000, 0.000, 0.000], [0.500, 0.000, 0.500], [0.000, 0.500, 0.500], [0.000, 0.757, 0.736], [0.000, 0.243, 0.264], [0.500, 0.746, 0.260], [0.500, 0.254, 0.740]],
  "final_energy_ev_per_atom": -4.7307,
  "vol_a3_per_atom": 38.2,
  "e_form_raw_ev_per_atom": -1.414
}



# 19
{
  "formula": "Mg6FeBi",
  "functional": "PBE-GGA",
  "state": "relaxed",
  "cell": [[3.214, -5.471, 0.000], [3.214, 5.471, 0.000], [0.000, 0.000, 4.931]],
  "species": ["Mg", "Mg", "Mg", "Mg", "Mg", "Mg", "Fe", "Bi"],
  "frac_coords": [[0.661, 0.831, 0.500], [0.169, 0.339, 0.500], [0.857, 0.686, 0.000], [0.314, 0.143, 0.000], [0.326, 0.674, 0.000], [0.842, 0.158, 0.000], [0.164, 0.836, 0.500], [0.667, 0.333, 0.500]],
  "final_energy_ev_per_atom": -2.6095,
  "vol_a3_per_atom": 21.7,
  "e_above_lowest_polymorph_mev_per_atom": 12,
  "ef_ev_per_atom": 0.13
}



# 20
{
  "formula": "Si2SnRhN",
  "functional": "PBE-GGA",
  "state": "relaxed",
  "cell": [[2.920, 0.000, 0.000], [0.000, 3.250, 0.000], [0.000, 0.000, 16.812]],
  "species": ["Si", "Si", "Si", "Si", "Sn", "Sn", "Rh", "Rh", "N", "N"],
  "frac_coords": [[0.000, 0.000, 0.241], [0.000, 0.500, 0.741], [0.500, 0.000, 0.077], [0.500, 0.500, 0.577], [0.000, 0.000, 0.873], [0.000, 0.500, 0.373], [0.000, 0.000, 0.514], [0.000, 0.500, 0.014], [0.500, 0.000, 0.184], [0.500, 0.500, 0.684]],
  "final_energy_ev_per_atom": -6.4805,
  "vol_a3_per_atom": 16.0,
  "e_above_lowest_polymorph_mev_per_atom": 0,
  "e_form_raw_ev_per_atom": -0.375
}



Magnetic moment for every record listed, in sequence, given in μB per cell: 0.00 0.00 0.00 0.00 0.00 0.00 0.00 0.00 0.00 0.00 0.00 0.00 1.23 11.92 0.00 7.82 4.00 0.00 2.44 0.00.